SrNdHg PBE relaxed; E_tot = -2.533 eV per atom; V = 104.4 Å³/f.u.; ΔE_f = -0.2821 eV/atom; DOS(E_F) = 12.88 states/eV/cell; ΔE to the lowest computed polymorph = 59 meV/atom
1.0
13.886 0.000 0.000
0.000 3.879 0.000
-2.219 0.000 7.751
Sr Nd Hg
4 4 4
Direct
0.141 0.000 0.079
0.359 0.500 0.921
0.641 0.500 0.079
0.859 0.000 0.921
0.138 0.000 0.554
0.362 0.500 0.446
0.638 0.500 0.554
0.862 0.000 0.446
0.009 0.500 0.741
0.491 0.000 0.259
0.509 0.000 0.741
0.991 0.500 0.259